# 1
VASP calculation (PBE-GGA) on an optimized crystal structure of CdAg2Ge2.

Unit cell a=8.3212 b=8.3212 c=2.9263 alpha=90.00 beta=90.00 gamma=90.00
Closest atoms and distances in Å follow each position.
Fractional coordinates of all 10 atoms:
Cd1 0.0000 0.0000 0.0000  2 Cd 2.93, 4 Ag 3.09
Cd2 0.5000 0.5000 0.0000  2 Cd 2.93, 4 Ag 3.09
Ag1 0.1687 0.3313 0.0000  6 Ge 2.81-2.89, 2 Ag 2.93, 2 Cd 3.09
Ag2 0.3313 0.8313 0.0000  6 Ge 2.81-2.89, 2 Ag 2.93, 2 Cd 3.09
Ag3 0.6687 0.1687 0.0000  6 Ge 2.81-2.89, 2 Ag 2.93, 2 Cd 3.09
Ag4 0.8313 0.6687 0.0000  6 Ge 2.81-2.89, 2 Ag 2.93, 2 Cd 3.09
Ge1 0.1278 0.6278 0.5000  6 Ag 2.81-2.89, 3 Ge 2.93-3.01
Ge2 0.3722 0.1278 0.5000  6 Ag 2.81-2.89, 3 Ge 2.93-3.01
Ge3 0.6278 0.8722 0.5000  6 Ag 2.81-2.89, 3 Ge 2.93-3.01
Ge4 0.8722 0.3722 0.5000  6 Ag 2.81-2.89, 3 Ge 2.93-3.01

Computed properties:
Its symmetry is P4/mbm (127). Its crystal system is tetragonal. The value obtained for the polymorph energy (0 for the lowest one) is 3 meV/atom.


# 2
VASP calculation (PBE-GGA) on an optimized crystal structure of CdAg2Ge.

Unit cell a=3.0883 b=3.0883 c=9.3868 alpha=98.99 beta=98.99 gamma=59.39
Closest atoms and distances in Å follow each position.
Fractional coordinates of all 4 atoms:
Cd1 0.0000 0.0000 0.0000  6 Ag 2.96-2.99, 6 Cd 3.06-3.09
Ag1 0.2476 0.2476 0.7430  3 Ge 2.85-2.88, 3 Cd 2.96-2.97, 6 Ag 3.06-3.09
Ag2 0.4186 0.4186 0.2572  3 Ge 2.85-2.89, 3 Cd 2.96-2.99, 6 Ag 3.06-3.09
Ge1 0.8339 0.8339 0.5002  6 Ag 2.85-2.89, 6 Ge 3.06-3.09

Computed properties:
Its symmetry is Cm (8). Its crystal system is monoclinic. The value obtained for the polymorph energy (0 for the lowest one) is 0 meV/atom.


# 3
VASP calculation (PBE-GGA) on an optimized crystal structure of Cd2AgGe.

Unit cell a=11.4249 b=11.4249 c=11.4249 alpha=14.88 beta=14.88 gamma=14.88
Closest atoms and distances in Å follow each position.
Fractional coordinates of all 4 atoms:
Cd1 0.0862 0.0862 0.0862  1 Ag 2.92, 6 Cd 2.96, 3 Ge 3.22
Cd2 0.9138 0.9138 0.9138  1 Ag 2.92, 6 Cd 2.96, 3 Ge 3.22
Ag1 0.0000 0.0000 0.0000  2 Cd 2.92, 6 Ag 2.96
Ge1 0.5000 0.5000 0.5000  6 Ge 2.96, 6 Cd 3.22

Computed properties:
Its symmetry is R-3m (166). Its crystal system is trigonal. Its final energy is -2.1355 eV/atom.


# 4
VASP calculation (PBE-GGA) on an optimized crystal structure of CdAgGe.

Unit cell a=4.8335 b=4.8335 c=2.9566 alpha=90.00 beta=90.00 gamma=120.00
Closest atoms and distances in Å follow each position.
Fractional coordinates of all 3 atoms:
Cd1 0.0000 0.0000 0.0000  2 Cd 2.96, 6 Ge 3.13-3.19, 6 Ag 3.14-3.17
Ag1 0.3333 0.6667 0.5118  3 Ge 2.79, 2 Ag 2.96
Ge1 0.6667 0.3333 0.4761  3 Ag 2.79, 2 Ge 2.96, 3 Cd 3.13

Computed properties:
Its symmetry is P3m1 (156). Its crystal system is trigonal. The value obtained for the polymorph energy (0 for the lowest one) is 20 meV/atom.


# 5
VASP calculation (PBE-GGA) on an optimized crystal structure of CdAg2Ge.

Unit cell a=4.2601 b=4.2601 c=4.1742 alpha=90.00 beta=90.00 gamma=90.00
Closest atoms and distances in Å follow each position.
Fractional coordinates of all 4 atoms:
Cd1 0.0000 0.0000 0.0000  8 Ag 2.98, 4 Ge 3.01
Ag1 0.0000 0.5000 0.5000  4 Ge 2.98, 4 Cd 2.98, 4 Ag 3.01
Ag2 0.5000 0.0000 0.5000  4 Ge 2.98, 4 Cd 2.98, 4 Ag 3.01
Ge1 0.5000 0.5000 0.0000  8 Ag 2.98, 4 Cd 3.01

Computed properties:
Its symmetry is P4/mmm (123). Its crystal system is tetragonal. The value obtained for the polymorph energy (0 for the lowest one) is 15 meV/atom.


# 6
VASP calculation (PBE-GGA) on an optimized crystal structure of CdAgGe3.

Unit cell a=5.0407 b=5.0407 c=5.0407 alpha=90.00 beta=90.00 gamma=90.00
Closest atoms and distances in Å follow each position.
Fractional coordinates of all 5 atoms:
Cd1 0.0000 0.0000 0.0000  12 Ge 3.56
Ag1 0.5000 0.5000 0.5000  6 Ge 2.52
Ge1 0.0000 0.5000 0.5000  2 Ag 2.52
Ge2 0.5000 0.0000 0.5000  2 Ag 2.52
Ge3 0.5000 0.5000 0.0000  2 Ag 2.52

Computed properties:
Its symmetry is Pm-3m (221). Its crystal system is cubic. The value obtained for the polymorph energy (0 for the lowest one) is 0 meV/atom.


# 7
VASP calculation (PBE-GGA) on an optimized crystal structure of CdAg2Ge2.

Unit cell a=6.5040 b=6.5040 c=6.5040 alpha=141.92 beta=141.92 gamma=54.94
Closest atoms and distances in Å follow each position.
Fractional coordinates of all 5 atoms:
Cd1 0.0000 0.0000 0.0000  8 Ge 3.24, 8 Ag 3.58
Ag1 0.2500 0.7500 0.5000  4 Ge 2.69, 4 Ag 3.00
Ag2 0.7500 0.2500 0.5000  4 Ge 2.69, 4 Ag 3.00
Ge1 0.3936 0.3936 0.0000  1 Ge 2.46, 4 Ag 2.69
Ge2 0.6064 0.6064 0.0000  1 Ge 2.46, 4 Ag 2.69

Computed properties:
Its symmetry is I4/mmm (139). Its crystal system is tetragonal. The value obtained for the polymorph energy (0 for the lowest one) is 48 meV/atom.


# 8
VASP calculation (PBE-GGA) on an optimized crystal structure of Cd3Ag12Ge.

Unit cell a=4.1465 b=4.1465 c=17.0978 alpha=90.00 beta=90.00 gamma=90.00
Closest atoms and distances in Å follow each position.
Fractional coordinates of all 16 atoms:
Cd1 0.0000 0.0000 0.0000  12 Ag 2.93-2.99
Cd2 0.0000 0.0000 0.2526  12 Ag 2.93-3.00
Cd3 0.0000 0.0000 0.7474  12 Ag 2.93-3.00
Ag1 0.0000 0.5000 0.1261  8 Ag 2.93-3.00, 4 Cd 2.99-3.00
Ag2 0.0000 0.5000 0.3781  8 Ag 2.93-2.98, 2 Ge 2.94, 2 Cd 2.98
Ag3 0.0000 0.5000 0.6219  8 Ag 2.93-2.98, 2 Ge 2.94, 2 Cd 2.98
Ag4 0.0000 0.5000 0.8739  8 Ag 2.93-3.00, 4 Cd 2.99-3.00
Ag5 0.5000 0.0000 0.1261  8 Ag 2.93-3.00, 4 Cd 2.99-3.00
Ag6 0.5000 0.0000 0.3781  8 Ag 2.93-2.98, 2 Ge 2.94, 2 Cd 2.98
Ag7 0.5000 0.0000 0.6219  8 Ag 2.93-2.98, 2 Ge 2.94, 2 Cd 2.98
Ag8 0.5000 0.0000 0.8739  8 Ag 2.93-3.00, 4 Cd 2.99-3.00
Ag9 0.5000 0.5000 0.0000  4 Cd 2.93, 8 Ag 2.99
Ag10 0.5000 0.5000 0.2525  4 Cd 2.93, 8 Ag 2.98-3.00
Ag11 0.5000 0.5000 0.5000  4 Ge 2.93, 8 Ag 2.94
Ag12 0.5000 0.5000 0.7475  4 Cd 2.93, 8 Ag 2.98-3.00
Ge1 0.0000 0.0000 0.5000  12 Ag 2.93-2.94

Computed properties:
Its symmetry is P4/mmm (123). Its crystal system is tetragonal. Its final energy is -2.5918 eV/atom.


# 9
VASP calculation (PBE-GGA) on an optimized crystal structure of CdAg2Ge.

Unit cell a=6.1385 b=6.1385 c=6.1385 alpha=102.25 beta=102.25 gamma=125.15
Closest atoms and distances in Å follow each position.
Fractional coordinates of all 8 atoms:
Cd1 0.0000 0.0000 0.0000  2 Ge 2.83, 4 Ag 2.94
Cd2 0.7500 0.2500 0.5000  2 Ge 2.83, 4 Ag 2.94
Ag1 0.1483 0.6250 0.0233  2 Ge 2.69, 2 Ag 2.85, 2 Cd 2.94
Ag2 0.3750 0.3983 0.5233  2 Ge 2.69, 2 Ag 2.85, 2 Cd 2.94
Ag3 0.6017 0.1250 0.9767  2 Ge 2.69, 2 Ag 2.85, 2 Cd 2.94
Ag4 0.8750 0.8517 0.4767  2 Ge 2.69, 2 Ag 2.85, 2 Cd 2.94
Ge1 0.2500 0.7500 0.5000  4 Ag 2.69, 2 Cd 2.83
Ge2 0.5000 0.5000 0.0000  4 Ag 2.69, 2 Cd 2.83

Computed properties:
Its symmetry is I-42d (122). Its crystal system is tetragonal. The value obtained for the polymorph energy (0 for the lowest one) is 201 meV/atom.


# 10
VASP calculation (PBE-GGA) on an optimized crystal structure of CdAg2Ge2.

Unit cell a=7.3191 b=7.3191 c=7.3191 alpha=149.36 beta=149.36 gamma=43.88
Closest atoms and distances in Å follow each position.
Fractional coordinates of all 5 atoms:
Cd1 0.0000 0.0000 0.0000  8 Ag 3.05
Ag1 0.4001 0.4001 0.0000  1 Ag 2.71, 4 Ge 2.81
Ag2 0.5999 0.5999 0.0000  1 Ag 2.71, 4 Ge 2.81
Ge1 0.2500 0.7500 0.5000  4 Ge 2.73, 4 Ag 2.81
Ge2 0.7500 0.2500 0.5000  4 Ge 2.73, 4 Ag 2.81

Computed properties:
Its symmetry is I4/mmm (139). Its crystal system is tetragonal. The value obtained for the polymorph energy (0 for the lowest one) is 0 meV/atom.


# 11
VASP calculation (PBE-GGA) on an optimized crystal structure of Cd2AgGe.

Unit cell a=4.4223 b=4.4223 c=4.1533 alpha=90.00 beta=90.00 gamma=90.00
Closest atoms and distances in Å follow each position.
Fractional coordinates of all 4 atoms:
Cd1 0.0000 0.5000 0.0000  4 Ge 3.03, 4 Ag 3.03, 4 Cd 3.13
Cd2 0.5000 0.0000 0.0000  4 Ge 3.03, 4 Ag 3.03, 4 Cd 3.13
Ag1 0.0000 0.0000 0.5000  8 Cd 3.03, 4 Ge 3.13
Ge1 0.5000 0.5000 0.5000  8 Cd 3.03, 4 Ag 3.13

Computed properties:
Its symmetry is P4/mmm (123). Its crystal system is tetragonal. Its final energy is -2.2152 eV/atom.


# 12
VASP calculation (PBE-GGA) on an optimized crystal structure of CdAg2Ge.

Unit cell a=3.4775 b=3.4775 c=6.2595 alpha=90.00 beta=90.00 gamma=90.00
Closest atoms and distances in Å follow each position.
Fractional coordinates of all 4 atoms:
Cd1 0.0000 0.0000 0.0000  8 Ag 2.94, 2 Ge 3.13
Ag1 0.5000 0.5000 0.2580  4 Ge 2.89, 4 Cd 2.94, 2 Ag 3.03-3.23
Ag2 0.5000 0.5000 0.7420  4 Ge 2.89, 4 Cd 2.94, 2 Ag 3.03-3.23
Ge1 0.0000 0.0000 0.5000  8 Ag 2.89, 2 Cd 3.13

Computed properties:
Its symmetry is P4/mmm (123). Its crystal system is tetragonal. The value obtained for the polymorph energy (0 for the lowest one) is 31 meV/atom.